! InSiTe2 (PBE-GGA, relaxed); values from VASP
! N(E_F) ... 2.45 states/eV/cell
! Space group ... Pmmm (47)
! Raw formation energy ... 1.54 eV/f.u.
! Excess energy over the best structure of this formula in the dataset ... 408 meV per atom
! E ... -12.90 eV/cell
&SYSTEM
  ibrav = 0, nat = 4, ntyp = 3
/
ATOMIC_SPECIES
In 114.82 In.upf
Si 28.09 Si.upf
Te 127.60 Te.upf
ATOMIC_POSITIONS angstrom
In 0.000 0.000 0.000
Si 1.865 2.596 0.000
Te 0.000 2.596 2.671
Te 1.865 0.000 2.671
CELL_PARAMETERS angstrom
3.731 0.000 0.000
0.000 5.191 0.000
0.000 0.000 5.342

! InSiTe2 (PBE-GGA, relaxed); values from VASP
! N(E_F) ... 6.74 states/eV/cell
! Space group ... I-42d (122)
! Raw formation energy ... 0.42 eV/f.u.
! Excess energy over the best structure of this formula in the dataset ... 129 meV per atom
! E ... -28.04 eV/cell
&SYSTEM
  ibrav = 0, nat = 8, ntyp = 3
/
ATOMIC_SPECIES
In 114.82 In.upf
Si 28.09 Si.upf
Te 127.60 Te.upf
ATOMIC_POSITIONS angstrom
In 0.000 0.000 0.000
In 0.000 3.889 2.127
Si 3.889 0.000 2.127
Si 0.000 0.000 4.254
Te 1.944 -1.541 3.190
Te 2.348 1.944 1.063
Te 1.944 5.429 -1.063
Te 1.541 1.944 5.317
CELL_PARAMETERS angstrom
-3.889 3.889 4.254
3.889 -3.889 4.254
3.889 3.889 -4.254

! InSiTe2 (PBE-GGA, relaxed); values from VASP
! N(E_F) ... 1.46 states/eV/cell
! Space group ... R-3m (166)
! Raw formation energy ... 0.34 eV/f.u.
! Excess energy over the best structure of this formula in the dataset ... 109 meV per atom
! E ... -14.10 eV/cell
&SYSTEM
  ibrav = 0, nat = 4, ntyp = 3
/
ATOMIC_SPECIES
In 114.82 In.upf
Si 28.09 Si.upf
Te 127.60 Te.upf
ATOMIC_POSITIONS angstrom
In 0.000 0.000 0.000
Si 0.000 0.000 14.681
Te 0.000 0.000 3.296
Te 0.000 0.000 26.065
CELL_PARAMETERS angstrom
1.918 1.107 9.787
-1.918 1.107 9.787
0.000 -2.214 9.787

Question: Among the records above, which one has the lowest E?
Answer: number 2

Question: Which value of N(E_F) does entry 3 give?
Answer: 1.46 states/eV/cell

Question: Among the records above, which one has the lowest excess energy over the best structure of this formula in the dataset?
Answer: number 3